No. 1
An optimized crystal structure of BaNbF6. Source: the Alexandria database, functional GGA-PBE.

abc: 5.844 5.903 6.592
angles: 62.81 61.05 55.06
Site moments in Bohr magnetons follow the coordinates.
Fractional positions:
Ba 0.500 0.500 0.500  0.00
Nb 0.000 0.000 0.000  0.86
F 0.092 0.330 0.793  0.01
F 0.832 0.053 0.764  0.02
F 0.614 0.231 0.209  0.01
F 0.168 0.947 0.236  0.02
F 0.908 0.670 0.207  0.01
F 0.386 0.769 0.791  0.01

Results
- Raw formation energy: -3301 meV per atom
- Magnetization: 1.0 μB/f.u.

---

No. 2
An optimized crystal structure of Na2CaAgSn. Source: the Alexandria database, functional GGA-PBE.

abc: 5.787 5.995 5.787
angles: 90.00 90.00 90.00
Fractional positions:
Na 0.000 0.000 0.500
Na 0.500 0.000 0.000
Ca 0.000 0.500 0.000
Sn 0.000 0.000 0.000
Ag 0.500 0.500 0.500

Results
- DFT formation energy: 187 meV/atom
- Magnetization: 0.0 μB/f.u.

---

No. 3
An optimized crystal structure of CaZnCrRu2. Source: the Alexandria database, functional GGA-PBE.

abc: 4.435 5.082 4.435
angles: 90.00 90.00 90.00
Site moments in Bohr magnetons follow the coordinates.
Fractional positions:
Ru 0.000 0.000 0.500  0.12
Ru 0.500 0.000 0.000  0.08
Zn 0.500 0.500 0.500  0.00
Ca 0.000 0.500 0.000  0.01
Cr 0.000 0.000 0.000  0.33

Results
- DFT formation energy: 950 meV/atom
- Magnetization: 0.6 μB/f.u.

---

No. 4
An optimized crystal structure of Sr2CuAs2. Source: the Alexandria database, functional GGA-PBE.

abc: 4.289 6.147 10.738
angles: 76.21 78.48 69.58
Fractional positions:
Sr 0.695 0.254 0.356
Sr 0.912 0.270 0.906
Sr 0.305 0.746 0.644
Sr 0.088 0.730 0.094
Cu 0.577 0.167 0.679
Cu 0.423 0.833 0.321
As 0.045 0.318 0.591
As 0.656 0.833 0.855
As 0.955 0.682 0.409
As 0.344 0.167 0.145

Results
- Energy above the lowest structure with this stoichiometry: 0 meV per atom
- DFT formation energy: -862 meV/atom
- Magnetization: 0.0 μB/f.u.

---

No. 5
An optimized crystal structure of AlHS. Source: the Alexandria database, functional GGA-PBE.

abc: 5.981 6.400 6.300
angles: 126.47 90.00 90.00
Fractional positions:
H 0.364 0.392 0.028
H 0.636 0.608 0.972
H 0.864 0.608 0.472
H 0.136 0.392 0.528
S 0.415 0.807 0.580
S 0.585 0.193 0.420
S 0.085 0.807 0.080
S 0.915 0.193 0.920
Al 0.063 0.763 0.692
Al 0.437 0.763 0.192
Al 0.937 0.237 0.308
Al 0.563 0.237 0.808

Results
- E_tot: -4.29 eV/atom
- Magnetization: 0.0 μB/f.u.

---

No. 6
An optimized crystal structure of Y3IrF. Source: the Alexandria database, functional GGA-PBE.

abc: 4.708 4.708 4.708
angles: 90.00 90.00 90.00
Fractional positions:
Y 0.000 0.500 0.000
Y 0.000 0.000 0.500
Y 0.500 0.000 0.000
Ir 0.500 0.500 0.500
F 0.000 0.000 0.000

Results
- Energy above the lowest structure with this stoichiometry: 0 meV per atom
- Raw formation energy: -960 meV per atom
- Magnetization: 0.0 μB/f.u.

---

No. 7
An optimized crystal structure of InTePt2. Source: the Alexandria database, functional GGA-PBE.

abc: 6.619 6.619 6.619
angles: 151.69 142.39 47.73
Fractional positions:
In 0.713 0.213 0.500
Pt 0.063 0.063 0.000
Pt 0.267 0.767 0.500
Te 0.456 0.456 0.000

Results
- Energy above the lowest structure with this stoichiometry: 126 meV per atom
- Raw formation energy: -161 meV per atom
- Magnetization: 0.0 μB/f.u.

---

No. 8
An optimized crystal structure of Ti2Bi2O. Source: the Alexandria database, functional GGA-PBE.

abc: 7.148 7.148 4.139
angles: 90.00 90.00 90.00
Fractional positions:
Bi 0.319 0.819 0.000
Bi 0.819 0.681 0.000
Bi 0.681 0.181 0.000
Bi 0.181 0.319 0.000
O 0.000 0.000 0.000
O 0.500 0.500 0.000
Ti 0.126 0.626 0.500
Ti 0.626 0.874 0.500
Ti 0.874 0.374 0.500
Ti 0.374 0.126 0.500

Results
- Energy above the lowest structure with this stoichiometry: 0 meV per atom
- Raw formation energy: 171 meV per atom
- Magnetization: 0.0 μB/f.u.

---

No. 9
An optimized crystal structure of Rb3C. Source: the Alexandria database, functional GGA-PBE.

abc: 6.256 6.256 6.256
angles: 90.00 90.00 90.00
Site moments in Bohr magnetons follow the coordinates.
Fractional positions:
C 0.000 0.000 0.000  0.85
Rb 0.500 0.000 0.000  0.01
Rb 0.000 0.500 0.000  0.01
Rb 0.000 0.000 0.500  0.01

Results
- Energy above the lowest structure with this stoichiometry: 12 meV per atom
- DFT formation energy: 1092 meV/atom
- Magnetization: 1.7 μB/f.u.

---

No. 10
An optimized crystal structure of RbNbP2S8. Source: the Alexandria database, functional GGA-PBE.

abc: 6.059 6.059 10.385
angles: 73.04 73.04 60.00
Fractional positions:
Rb 0.500 0.500 0.500
Nb 0.000 0.000 0.000
P 0.264 0.264 0.208
P 0.736 0.736 0.792
S 0.197 0.197 0.410
S 0.614 0.290 0.140
S 0.803 0.803 0.590
S 0.956 0.614 0.140
S 0.044 0.386 0.860
S 0.290 0.956 0.140
S 0.710 0.044 0.860
S 0.386 0.710 0.860

Results
- Raw formation energy: -488 meV per atom
- Magnetization: 0.0 μB/f.u.

---

No. 11
An optimized crystal structure of CoCuOs2. Source: the Alexandria database, functional GGA-PBE.

abc: 4.272 4.272 2.813
angles: 90.00 90.00 90.00
Site moments in Bohr magnetons follow the coordinates.
Fractional positions:
Co 0.500 0.000 0.500  1.21
Cu 0.000 0.500 0.500  0.00
Os 0.000 0.000 0.000  0.09
Os 0.500 0.500 0.000  0.09

Results
- Energy above the lowest structure with this stoichiometry: 270 meV per atom
- DFT formation energy: 501 meV/atom
- Magnetization: 1.4 μB/f.u.

---

No. 12
An optimized crystal structure of NdHo8Th4. Source: the Alexandria database, functional GGA-PBE.

abc: 7.368 7.368 9.835
angles: 90.00 112.00 120.00
Fractional positions:
Nd 0.000 0.500 0.500
Ho 0.557 0.778 0.335
Ho 0.443 0.222 0.665
Ho 0.499 0.250 0.310
Ho 0.939 0.189 0.690
Ho 0.501 0.750 0.690
Ho 0.939 0.750 0.690
Ho 0.061 0.250 0.310
Ho 0.061 0.811 0.310
Th 0.000 0.000 0.000
Th 0.000 0.500 0.000
Th 0.500 0.500 0.000
Th 0.500 0.000 0.000

Results
- DFT formation energy: 214 meV/atom
- Magnetization: 0.0 μB/f.u.

---

No. 13
An optimized crystal structure of Li2CaHfNi. Source: the Alexandria database, functional GGA-PBE.

abc: 4.355 5.245 4.355
angles: 90.00 90.00 90.00
Fractional positions:
Ni 0.500 0.500 0.500
Ca 0.000 0.000 0.000
Hf 0.000 0.500 0.000
Li 0.000 0.000 0.500
Li 0.500 0.000 0.000

Results
- DFT formation energy: 1540 meV/atom
- Magnetization: 0.0 μB/f.u.

---

No. 14
An optimized crystal structure of LiTi2TlGa. Source: the Alexandria database, functional GGA-PBE.

abc: 4.538 4.382 4.538
angles: 90.00 90.00 90.00
Fractional positions:
Tl 0.500 0.500 0.500
Li 0.000 0.000 0.000
Ga 0.000 0.500 0.000
Ti 0.000 0.000 0.500
Ti 0.500 0.000 0.000

Results
- DFT formation energy: 486 meV/atom
- Magnetization: 0.0 μB/f.u.

---

No. 15
An optimized crystal structure of PmNdPu2N4. Source: the Alexandria database, functional GGA-PBE.

abc: 3.546 6.143 6.127
angles: 109.52 90.00 90.00
Site moments in Bohr magnetons follow the coordinates.
Fractional positions:
Pm 0.000 0.000 0.000  0.13
Nd 0.500 0.500 0.000  0.13
Pu 0.500 0.000 0.500  4.55
Pu 0.000 0.500 0.500  4.61
N 0.500 0.256 0.275  -0.16
N 0.500 0.744 0.725  -0.16
N 0.000 0.240 0.724  -0.16
N 0.000 0.760 0.276  -0.16

Results
- Raw formation energy: -1343 meV per atom
- Magnetization: 9.2 μB/f.u.

---

No. 16
An optimized crystal structure of SrVAu. Source: the Alexandria database, functional GGA-PBE.

abc: 4.302 6.224 6.070
angles: 84.18 92.27 68.70
Site moments in Bohr magnetons follow the coordinates.
Fractional positions:
Sr 0.681 0.399 0.972  0.01
Sr 0.263 0.209 0.507  0.01
Au 0.517 0.656 0.461  0.00
Au 0.981 0.811 0.757  0.00
V 0.479 0.918 0.061  0.41
V 0.909 0.835 0.204  -0.30

Results
- Energy above the lowest structure with this stoichiometry: 67 meV per atom
- DFT formation energy: 36 meV/atom
- Magnetization: 0.1 μB/f.u.

---

No. 17
An optimized crystal structure of Li5Nd3I12. Source: the Alexandria database, functional GGA-PBE.

abc: 15.357 15.357 15.357
angles: 109.47 109.47 109.47
Site moments in Bohr magnetons follow the coordinates.
Fractional positions:
Nd 0.750 0.375 0.125  0.33
Nd 0.875 0.750 0.125  0.33
Nd 0.375 0.750 0.625  0.33
Nd 0.250 0.125 0.375  0.33
Nd 0.875 0.125 0.250  0.33
Nd 0.375 0.625 0.250  0.33
Nd 0.625 0.375 0.750  0.33
Nd 0.125 0.875 0.750  0.33
Nd 0.750 0.875 0.625  0.33
Nd 0.625 0.250 0.375  0.33
Nd 0.125 0.250 0.875  0.33
Nd 0.250 0.625 0.875  0.33
Li 0.125 0.375 0.250  0.00
Li 0.000 0.500 0.000  0.00
Li 0.000 0.000 0.000  0.00
Li 0.375 0.250 0.125  0.00
Li 0.500 0.000 0.500  0.00
Li 0.500 0.500 0.000  0.00
Li 0.125 0.750 0.375  0.00
Li 0.750 0.125 0.875  0.00
Li 0.750 0.625 0.375  0.00
Li 0.375 0.125 0.750  0.00
Li 0.625 0.875 0.250  0.00
Li 0.500 0.500 0.500  0.00
Li 0.500 0.000 0.000  0.00
Li 0.000 0.000 0.500  0.00
Li 0.250 0.375 0.625  0.00
Li 0.250 0.875 0.125  0.00
Li 0.000 0.500 0.500  0.00
Li 0.875 0.250 0.625  0.00
Li 0.625 0.750 0.875  0.00
Li 0.875 0.625 0.750  0.00
I 0.716 0.125 0.036  0.00
I 0.320 0.536 0.411  0.00
I 0.964 0.375 0.284  0.00
I 0.536 0.216 0.125  0.00
I 0.591 0.716 0.680  0.00
I 0.964 0.589 0.180  0.00
I 0.320 0.784 0.409  0.00
I 0.089 0.909 0.125  0.00
I 0.589 0.964 0.680  0.00
I 0.716 0.591 0.180  0.00
I 0.784 0.464 0.375  0.00
I 0.820 0.911 0.036  0.00
I 0.125 0.716 0.536  0.00
I 0.375 0.411 0.091  0.00
I 0.091 0.911 0.375  0.00
I 0.409 0.125 0.589  0.00
I 0.091 0.180 0.216  0.00
I 0.464 0.680 0.089  0.00
I 0.820 0.909 0.284  0.00
I 0.125 0.409 0.089  0.00
I 0.375 0.964 0.784  0.00
I 0.589 0.625 0.409  0.00
I 0.911 0.820 0.536  0.00
I 0.784 0.320 0.909  0.00
I 0.411 0.375 0.591  0.00
I 0.089 0.180 0.464  0.00
I 0.216 0.680 0.091  0.00
I 0.180 0.091 0.716  0.00
I 0.625 0.036 0.216  0.00
I 0.875 0.591 0.911  0.00
I 0.536 0.320 0.911  0.00
I 0.591 0.875 0.411  0.00
I 0.909 0.820 0.784  0.00
I 0.909 0.089 0.625  0.00
I 0.875 0.284 0.464  0.00
I 0.180 0.089 0.964  0.00
I 0.625 0.589 0.909  0.00
I 0.411 0.036 0.320  0.00
I 0.284 0.409 0.820  0.00
I 0.216 0.536 0.625  0.00
I 0.911 0.091 0.875  0.00
I 0.680 0.216 0.591  0.00
I 0.464 0.784 0.875  0.00
I 0.036 0.411 0.820  0.00
I 0.409 0.284 0.320  0.00
I 0.036 0.625 0.716  0.00
I 0.680 0.464 0.589  0.00
I 0.284 0.875 0.964  0.00

Results
- Raw formation energy: -1166 meV per atom
- Magnetization: 2.0 μB/f.u.

---

No. 18
An optimized crystal structure of Sc2SiBRh6. Source: the Alexandria database, functional GGA-PBE.

abc: 6.028 6.030 6.031
angles: 60.01 60.02 90.02
Fractional positions:
Sc 0.750 0.250 0.500
Sc 0.250 0.750 0.500
Si 0.000 0.000 0.000
B 0.500 0.500 0.000
Rh 0.261 0.261 0.478
Rh 0.739 0.739 0.000
Rh 0.261 0.739 0.000
Rh 0.739 0.261 0.000
Rh 0.261 0.261 0.000
Rh 0.739 0.739 0.522

Results
- Raw formation energy: -647 meV per atom
- Magnetization: 0.0 μB/f.u.